{
  "formula": "La4TlPd",
  "functional": "GGA-PBE",
  "state": "optimized geometry",
  "lattice": [[-0.2379, -9.7064, -3.2502], [7.7010, -3.6994, -5.6430], [6.4241, -6.8970, 3.9996]],
  "species": ["La", "La", "La", "La", "La", "La", "La", "La", "La", "La", "La", "La", "La", "La", "La", "La", "Tl", "Tl", "Tl", "Tl", "Pd", "Pd", "Pd", "Pd"],
  "frac_coords": [[0.3990, 0.3990, 0.3990], [0.8031, 0.3990, 0.3990], [0.3990, 0.8031, 0.3990], [0.3990, 0.3990, 0.8031], [0.5542, 0.5542, 0.9458], [0.9458, 0.9458, 0.5542], [0.5542, 0.9458, 0.5542], [0.9458, 0.5542, 0.9458], [0.9458, 0.5542, 0.5542], [0.5542, 0.9458, 0.9458], [0.1872, 0.1872, 0.8128], [0.8128, 0.8128, 0.1872], [0.1872, 0.8128, 0.1872], [0.8128, 0.1872, 0.8128], [0.8128, 0.1872, 0.1872], [0.1872, 0.8128, 0.8128], [0.1669, 0.1669, 0.1669], [0.4993, 0.1669, 0.1669], [0.1669, 0.4993, 0.1669], [0.1669, 0.1669, 0.4993], [0.6071, 0.6071, 0.6071], [0.1788, 0.6071, 0.6071], [0.6071, 0.1788, 0.6071], [0.6071, 0.6071, 0.1788]],
  "vol_a3_per_cell": 759,
  "relative_energy_mev_per_atom": 0,
  "formation_enthalpy_0k_ev_per_fu": -2.56
}